[1]
# MgGeCl4 (GGA-PBE, optimized geometry)
# Excess energy over the best structure of this formula in the dataset: 56 meV per atom
# Formation energy (no corrections): -1.2461 eV per atom
# Crystal system: monoclinic
data_MgGeCl4
_chemical_formula_sum 'Mg4 Ge4 Cl16'
_symmetry_space_group_name_H-M 'C 1 2/m 1'
_symmetry_Int_Tables_number 12
_cell_length_a 16.0676
_cell_length_b 5.2117
_cell_length_c 8.6890
_cell_angle_alpha 90.00
_cell_angle_beta 112.07
_cell_angle_gamma 90.00
loop_
_symmetry_equiv_pos_as_xyz
'x,y,z'
'-x,-y,-z'
'-x,y,-z'
'x,-y,z'
'x+1/2,y+1/2,z'
'-x+1/2,-y+1/2,-z'
'-x+1/2,y+1/2,-z'
'x+1/2,-y+1/2,z'
loop_
_atom_site_label
_atom_site_fract_x
_atom_site_fract_y
_atom_site_fract_z
Mg1 0.2074 0.0000 0.3225
Ge1 0.1065 0.0000 0.7418
Cl1 0.0590 0.0000 0.3711
Cl2 0.1135 0.0000 0.0250
Cl3 0.1502 0.5000 0.7303
Cl4 0.2168 0.5000 0.3634

---

[2]
# NaMgGe2Cl (GGA-PBE, optimized geometry)
# Formation energy (no corrections): 0.2204 eV per atom
# Crystal system: tetragonal
data_NaMgGe2Cl
_chemical_formula_sum 'Na1 Mg1 Ge2 Cl1'
_symmetry_space_group_name_H-M 'P 4/m m m'
_symmetry_Int_Tables_number 123
_symmetry_space_group_name_Hall '-P 4 2'
_cell_length_a 4.9055
_cell_length_b 4.9055
_cell_length_c 7.0506
_cell_angle_alpha 90.00
_cell_angle_beta 90.00
_cell_angle_gamma 90.00
loop_
_atom_site_label
_atom_site_fract_x
_atom_site_fract_y
_atom_site_fract_z
Na1 0.0000 0.0000 0.0000
Mg1 0.0000 0.0000 0.5000
Ge1 0.0000 0.5000 0.5000
Cl1 0.5000 0.5000 0.0000

---

[3]
# Na2MgGeCl6 (GGA-PBE, optimized geometry)
# Formation energy (no corrections): -1.4889 eV per atom
# Crystal system: trigonal
data_Na2MgGeCl6
_chemical_formula_sum 'Na6 Mg3 Ge3 Cl18'
_symmetry_space_group_name_H-M 'R 3'
_symmetry_Int_Tables_number 146
_symmetry_space_group_name_Hall 'R 3'
_cell_length_a 6.8435
_cell_length_b 6.8435
_cell_length_c 18.1675
_cell_angle_alpha 90.00
_cell_angle_beta 90.00
_cell_angle_gamma 120.00
loop_
_atom_site_label
_atom_site_fract_x
_atom_site_fract_y
_atom_site_fract_z
Na1 0.0000 0.0000 0.0000
Na2 0.0000 0.0000 0.4940
Mg1 0.0000 0.0000 0.7006
Ge1 0.0000 0.0000 0.2028
Cl1 0.0026 0.3785 0.4376
Cl2 0.0558 0.7023 0.2762